No. 1
DyAlTc: optimized geometry, PBE.

Structure (POSCAR):
```
DyAlTc
1.0
5.742 0.000 0.000
0.000 5.742 0.000
0.000 0.000 8.648
Dy Al Tc
4 4 4
Direct
0.226 0.226 0.000
0.274 0.726 0.250
0.726 0.274 0.750
0.774 0.774 0.500
0.141 0.141 0.500
0.359 0.641 0.750
0.641 0.359 0.250
0.859 0.859 0.000
0.063 0.937 0.750
0.437 0.437 0.500
0.563 0.563 0.000
0.937 0.063 0.250
```

Computed properties:
Distance to the lowest polymorph of the same formula   776.2 meV/atom
Symmetry   No. 92



No. 2
K4U3PaO12: optimized geometry, PBE.

Structure (POSCAR):
```
K4U3PaO12
1.0
-4.344 4.344 4.344
4.344 -4.344 4.344
4.344 4.344 -4.344
K U Pa O
4 3 1 12
Direct
0.000 0.000 0.500
0.000 0.500 0.000
0.500 0.000 0.000
0.500 0.500 0.500
0.000 0.500 0.500
0.500 0.000 0.500
0.500 0.500 0.000
0.000 0.000 0.000
0.000 0.251 0.251
0.000 0.749 0.749
0.250 0.500 0.750
0.250 0.750 0.500
0.251 0.000 0.251
0.251 0.251 0.000
0.500 0.250 0.750
0.500 0.750 0.250
0.749 0.000 0.749
0.749 0.749 0.000
0.750 0.250 0.500
0.750 0.500 0.250
```

Computed properties:
Formation energy (no corrections)   -2.973 eV/atom
Symmetry   No. 229



No. 3
LiTb3In12: optimized geometry, PBE.

Structure (POSCAR):
```
LiTb3In12
1.0
4.649 0.000 0.000
0.000 4.649 0.000
0.000 0.000 18.306
Li Tb In
1 3 12
Direct
0.000 0.000 0.000
0.000 0.000 0.246
0.000 0.000 0.500
0.000 0.000 0.754
0.000 0.500 0.117
0.000 0.500 0.373
0.000 0.500 0.627
0.000 0.500 0.883
0.500 0.000 0.117
0.500 0.000 0.373
0.500 0.000 0.627
0.500 0.000 0.883
0.500 0.500 0.000
0.500 0.500 0.248
0.500 0.500 0.500
0.500 0.500 0.752
```

Computed properties:
Total DFT energy (no corrections)   -3.3844 eV per atom
Symmetry   No. 123



No. 4
CoRuIN2: optimized geometry, PBE.

Structure (POSCAR):
```
CoRuIN2
1.0
3.627 0.000 0.000
0.000 3.627 0.000
0.000 0.000 6.415
Co Ru I N
1 1 1 2
Direct
0.000 0.000 0.000
0.500 0.500 0.500
0.000 0.000 0.500
0.000 0.500 0.000
0.500 0.000 0.000
```

Computed properties:
Distance to the lowest polymorph of the same formula   408.7 meV/atom
Formation energy (no corrections)   1.533 eV/atom
Symmetry   No. 123



No. 5
Cd6Sn2Hg: optimized geometry, PBE.

Structure (POSCAR):
```
Cd6Sn2Hg
1.0
2.842 -4.922 0.000
2.842 4.922 0.000
-0.001 0.000 8.887
Cd Sn Hg
6 2 1
Direct
0.085 0.085 0.191
0.086 0.500 0.808
0.500 0.086 0.808
0.500 0.914 0.192
0.914 0.500 0.192
0.915 0.915 0.809
0.166 0.834 0.500
0.834 0.166 0.500
0.500 0.500 0.000
```

Computed properties:
Distance to the lowest polymorph of the same formula   39.5 meV/atom
Symmetry   No. 12



No. 6
Sm6Cd3Ag: optimized geometry, PBE.

Structure (POSCAR):
```
Sm6Cd3Ag
1.0
9.258 0.000 0.000
0.000 5.422 0.000
-4.065 0.000 11.247
Sm Cd Ag
12 6 2
Direct
0.037 0.250 0.416
0.165 0.750 0.171
0.250 0.250 0.002
0.349 0.750 0.806
0.363 0.250 0.346
0.411 0.250 0.636
0.589 0.750 0.364
0.637 0.750 0.654
0.651 0.250 0.194
0.750 0.750 0.998
0.835 0.250 0.829
0.963 0.750 0.584
0.030 0.750 0.872
0.105 0.250 0.715
0.270 0.750 0.476
0.730 0.250 0.524
0.895 0.750 0.285
0.970 0.250 0.128
0.454 0.750 0.086
0.546 0.250 0.914
```

Computed properties:
Total DFT energy (no corrections)   -3.5977 eV per atom
Symmetry   No. 11



No. 7
Tb3Ho5Co2: optimized geometry, PBE.

Structure (POSCAR):
```
Tb3Ho5Co2
1.0
-5.053 7.341 3.829
5.053 -7.341 3.829
5.053 7.341 -3.829
Tb Ho Co
6 10 4
Direct
0.124 0.742 0.866
0.250 0.250 0.000
0.376 0.242 0.618
0.624 0.758 0.382
0.750 0.750 0.000
0.876 0.258 0.134
0.003 0.750 0.253
0.125 0.258 0.382
0.250 0.750 0.500
0.375 0.758 0.133
0.497 0.750 0.747
0.503 0.250 0.253
0.625 0.242 0.867
0.750 0.250 0.500
0.875 0.742 0.618
0.997 0.250 0.747
0.131 0.000 0.131
0.369 0.500 0.869
0.631 0.500 0.131
0.869 0.000 0.869
```

Computed properties:
Total DFT energy (no corrections)   -5.1302 eV per atom
Symmetry   No. 72



no.,total magnetization (μB/cell),Fermi-level density of states (states/eV/cell)
1,0.0,12.17
2,3.0,0.80
3,0.0,6.34
4,0.8,4.36
5,0.0,3.17
6,0.0,19.38
7,0.0,23.03